Record 1
This record from Alexandria describes a relaxed structure of TlP2PbO6. The functional is PBE.

Its space group is C2/c (15). The raw formation energy comes out at -1.715 eV/atom. The value obtained for the density of states at the Fermi level is 0.57 states/eV/f.u.

The structure in POSCAR format:
```
TlP2PbO6
1.0
-3.489 -1.884 -7.050
2.334 -7.745 -0.024
-4.250 -1.285 2.450
O Tl P Pb
12 2 4 2
Cartesian
-4.419 -6.927 -3.450
-0.201 -1.529 -1.128
-3.092 -8.729 -4.737
-5.204 -9.385 -3.496
-4.039 -3.695 -1.069
-0.986 -3.987 -1.174
-2.173 -8.912 -0.597
-3.232 -2.002 -4.027
-3.551 -4.744 -6.049
-2.313 -2.185 0.113
-1.853 -6.170 1.425
-1.366 -7.219 -3.555
-5.502 -4.030 -3.796
0.097 -6.884 -0.828
-0.834 -2.788 -0.279
-3.902 -2.482 -0.192
-1.503 -8.432 -4.432
-4.571 -8.126 -4.345
-3.345 -6.201 -1.193
-2.060 -4.713 -3.431
```



Record 2
This record from Alexandria describes a relaxed structure of ReP. The functional is PBE.

Its space group is P4/nmm (129). The calculation puts the formation energy at 0.2084 eV per atom. The energy above the most stable polymorph in this dataset is 0.994 eV per formula unit. The value obtained for the density of states at the Fermi level is 1.42 states/eV/f.u.

The structure in POSCAR format:
```
ReP
1.0
3.706 0.000 0.000
0.000 3.706 0.000
0.000 0.000 6.022
Re P
2 2
Cartesian
0.000 0.000 0.000
1.853 1.853 0.000
0.000 1.853 4.376
1.853 0.000 1.646
```



Record 3
This record from Alexandria describes a relaxed structure of Co2AgH. The functional is PBE.

Its space group is Cm (8). The energy above the most stable polymorph in this dataset is 0.354 eV per formula unit. The value obtained for the density of states at the Fermi level is 4.53 states/eV/f.u.

The structure in POSCAR format:
```
Co2AgH
1.0
-3.337 -2.965 -2.525
0.513 -4.878 0.296
-3.213 -2.653 2.603
Co Ag H
4 2 2
Cartesian
-5.419 -5.934 0.237
-3.325 -6.859 1.900
-5.164 -8.356 0.380
-3.565 -7.041 -0.909
-1.233 -1.781 0.385
-2.830 -4.419 0.349
-4.230 -7.015 0.599
-1.880 -6.864 -0.993
```



Record 4
This record from Alexandria describes a relaxed structure of Ba2HgC. The functional is PBE.

Its space group is P-1 (2). The calculation puts the formation energy at -0.1906 eV per atom. The energy above the most stable polymorph in this dataset is 0.000 eV per formula unit. The value obtained for the density of states at the Fermi level is 3.34 states/eV/f.u.

The structure in POSCAR format:
```
Ba2HgC
1.0
-0.229 2.315 4.062
-3.091 -5.408 5.256
6.255 -3.548 4.594
Ba Hg C
4 2 2
Cartesian
4.833 -3.013 8.437
1.210 -0.729 6.994
-1.898 -3.629 5.476
1.725 -5.912 6.918
3.938 -1.832 5.071
-1.003 -4.809 8.841
-1.734 -0.984 6.460
4.669 -5.657 7.452
```



Record 5
This record from Alexandria describes a relaxed structure of NaLaSb3. The functional is PBE.

Its space group is Pm-3m (221). The raw formation energy comes out at 0.149 eV/atom. The energy above the most stable polymorph in this dataset is 4.127 eV per formula unit. The value obtained for the density of states at the Fermi level is 4.91 states/eV/f.u.

The structure in POSCAR format:
```
NaLaSb3
1.0
-0.961 -5.322 -2.786
4.281 1.372 -4.099
4.214 -2.608 3.528
Sb La Na
3 1 1
Cartesian
-0.480 -2.661 -1.393
2.107 -1.304 1.764
2.140 0.686 -2.049
0.000 0.000 0.000
3.767 -3.279 -1.678
```



Record 6
This record from Alexandria describes a relaxed structure of Ti2GaMo. The functional is PBE.

Its space group is C2/m (12). The calculation puts the formation energy at -0.2339 eV per atom. The value obtained for the density of states at the Fermi level is 3.05 states/eV/f.u.

The structure in POSCAR format:
```
Ti2GaMo
1.0
2.896 -0.148 -0.038
1.320 2.582 -0.038
1.080 0.623 8.519
Ti Mo Ga
2 1 1
Cartesian
1.116 0.644 6.294
1.017 0.587 2.205
3.175 1.833 4.212
3.715 2.145 8.471
```



Record 7
This record from Alexandria describes a relaxed structure of MgBTe3. The functional is PBE.

Its space group is Pm-3m (221). The raw formation energy comes out at 0.479 eV/atom. The energy above the most stable polymorph in this dataset is 0.000 eV per formula unit. The value obtained for the density of states at the Fermi level is 2.82 states/eV/f.u.

The structure in POSCAR format:
```
MgBTe3
1.0
-4.142 2.499 0.953
-2.529 -4.232 0.105
0.871 -0.400 4.837
Te B Mg
3 1 1
Cartesian
-2.071 1.249 0.477
0.436 -0.200 2.418
-1.264 -2.116 0.053
0.000 0.000 0.000
-2.900 -1.066 2.947
```



Record 8
This record from Alexandria describes a relaxed structure of Nb2Fe2Pd. The functional is PBE.

Its space group is P4/mbm (127). The calculation puts the formation energy at -0.0837 eV per atom. The energy above the most stable polymorph in this dataset is 0.000 eV per formula unit. The value obtained for the density of states at the Fermi level is 5.85 states/eV/f.u.

The structure in POSCAR format:
```
Nb2Fe2Pd
1.0
6.925 0.000 0.000
0.000 6.925 0.000
0.000 0.000 3.042
Fe Pd Nb
4 2 4
Cartesian
6.016 4.371 0.000
2.554 6.016 0.000
0.909 2.554 0.000
4.371 0.909 0.000
0.000 0.000 0.000
3.462 3.462 0.000
4.619 5.768 1.521
1.157 4.619 1.521
5.768 2.306 1.521
2.306 1.157 1.521
```



Record 9
This record from Alexandria describes a relaxed structure of YThNiPd. The functional is PBE.

Its space group is F-43m (216). The calculation puts the formation energy at -0.5159 eV per atom. The energy above the most stable polymorph in this dataset is 0.510 eV per formula unit. The value obtained for the density of states at the Fermi level is 3.06 states/eV/f.u.

The structure in POSCAR format:
```
YThNiPd
1.0
4.992 0.000 0.000
2.496 4.323 0.000
2.496 1.441 4.076
Pd Th Y Ni
1 1 1 1
Cartesian
4.992 2.882 2.038
2.496 1.441 1.019
7.488 4.323 3.057
0.000 0.000 0.000
```



Record 10
This record from Alexandria describes a relaxed structure of NdSb3. The functional is PBE.

Its space group is Pm-3m (221). The raw formation energy comes out at -0.464 eV/atom. The energy above the most stable polymorph in this dataset is 0.186 eV per formula unit. The value obtained for the density of states at the Fermi level is 2.88 states/eV/f.u.

The structure in POSCAR format:
```
NdSb3
1.0
-3.036 1.730 3.331
2.320 -2.503 3.414
2.951 3.748 0.743
Sb Nd
3 1
Cartesian
2.635 0.622 2.079
-0.043 2.739 2.037
-0.358 -0.386 3.373
0.000 0.000 0.000
```



Record 11
This record from Alexandria describes a relaxed structure of Tl2ReAg. The functional is PBE.

Its space group is Fm-3m (225). The calculation puts the formation energy at 0.9853 eV per atom. The energy above the most stable polymorph in this dataset is 0.990 eV per formula unit. The value obtained for the density of states at the Fermi level is 3.31 states/eV/f.u.

The structure in POSCAR format:
```
Tl2ReAg
1.0
4.850 0.000 0.000
2.425 4.200 0.000
2.425 1.400 3.960
Tl Ag Re
2 1 1
Cartesian
7.275 4.200 2.970
2.425 1.400 0.990
0.000 0.000 0.000
4.850 2.800 1.980
```



Record 12
This record from Alexandria describes a relaxed structure of Pu2IrPt. The functional is PBE.

Its space group is P4/mmm (123). The calculation puts the formation energy at -0.5901 eV per atom. The value obtained for the density of states at the Fermi level is 15.84 states/eV/f.u.

The structure in POSCAR format:
```
Pu2IrPt
1.0
-3.371 -0.615 0.376
0.708 -3.161 1.178
0.275 2.505 6.555
Pt Ir Pu
1 1 2
Cartesian
-1.194 -0.636 4.055
-1.331 -1.888 0.777
0.209 1.900 4.973
0.066 0.605 1.582
```



no.,magnetization (Bohr magnetons per cell)
1,0.00
2,0.00
3,6.14
4,0.00
5,0.00
6,0.00
7,0.00
8,0.00
9,0.00
10,0.00
11,0.00
12,10.27